(1)
Mg2PbSe: relaxed, PBE-GGA.

The space group is I-42d (No. 122) and the conventional cell measures 6.993, 6.993 and 10.000 Å, with angles of 90.00, 90.00 and 90.00 degrees. Symmetry generates all atoms from Mg at (0.203, 0.250, 0.125), Pb at (0.000, 0.000, 0.500) and Se at (0.000, 0.000, 0.000).

Its formation energy from raw total energies is -1.4 eV/f.u. Its crystal system is tetragonal. The value obtained for the distance to the lowest polymorph of the same formula is 0.2509 eV/atom.

(2)
Tl3P2: relaxed, PBE-GGA.

The space group is Fdd2 (No. 43) and the conventional cell measures 12.487, 12.880 and 7.445 Å, with angles of 90.00, 90.00 and 90.00 degrees. Symmetry generates all atoms from Tl at (0.000, 0.000, 0.000), Tl at (0.038, 0.146, 0.591) and P at (0.094, 0.222, 0.924).

Its calculated formation energy is 0.309 eV/atom. Its crystal system is orthorhombic. The value obtained for the distance to the lowest polymorph of the same formula is 0.0393 eV/atom.